one | The following is a DFT calculation (GGA-PBE) of a relaxed Cu3BI crystal.

Cell: 4.240 4.240 4.240 Å, 90.00 90.00 90.00°
Space group Pm-3m (No. 221)
One atom of each set of equivalent atoms:
Cu  0.000  0.000  0.500 (multiplicity 3)
B  0.000  0.000  0.000 (multiplicity 1)
I  0.500  0.500  0.500 (multiplicity 1)

Values from the calculation:
* magnetic moment: 0.0 μB per cell

***

two | The following is a DFT calculation (GGA-PBE) of a relaxed Cu3BI crystal.

Cell: 4.926 4.926 4.926 Å, 90.00 90.00 90.00°
Space group Pm-3m (No. 221)
One atom of each set of equivalent atoms:
Cu  0.000  0.000  0.500 (multiplicity 3)
B  0.500  0.500  0.500 (multiplicity 1)
I  0.000  0.000  0.000 (multiplicity 1)

Values from the calculation:
* magnetic moment: 0.0 μB per cell

***

In meV per atom, relative to the most stable structure: one 0; two 1279.

***

one | The following is a DFT calculation (GGA-PBE) of a relaxed CuB2I crystal.

Cell: 6.070 6.070 6.070 Å, 90.00 90.00 90.00°
Space group Fm-3m (No. 225)
One atom of each set of equivalent atoms:
Cu  0.000  0.000  0.000 (multiplicity 4)
B  0.250  0.250  0.250 (multiplicity 8)
I  0.000  0.000  0.500 (multiplicity 4)

Values from the calculation:
* magnetic moment: 0.0 μB per cell

***

two | The following is a DFT calculation (GGA-PBE) of a relaxed CuB2I crystal.

Cell: 5.065 5.065 10.546 Å, 90.00 90.00 90.00°
Space group I-42d (No. 122)
One atom of each set of equivalent atoms:
Cu  0.000  0.000  0.000 (multiplicity 4)
B  0.165  0.250  0.125 (multiplicity 8)
I  0.000  0.000  0.500 (multiplicity 4)

Values from the calculation:
* magnetic moment: 0.0 μB per cell

***

In meV per atom, relative to the most stable structure: one 730; two 0.

***

one | The following is a DFT calculation (GGA-PBE) of a relaxed CuB3I crystal.

Cell: 4.160 4.160 4.160 Å, 90.00 90.00 90.00°
Space group Pm-3m (No. 221)
One atom of each set of equivalent atoms:
Cu  0.000  0.000  0.000 (multiplicity 1)
B  0.000  0.000  0.500 (multiplicity 3)
I  0.500  0.500  0.500 (multiplicity 1)

Values from the calculation:
* magnetic moment: 0.0 μB per cell

***

two | The following is a DFT calculation (GGA-PBE) of a relaxed CuB3I crystal.

Cell: 4.410 4.410 4.410 Å, 90.00 90.00 90.00°
Space group Pm-3m (No. 221)
One atom of each set of equivalent atoms:
Cu  0.000  0.000  0.000 (multiplicity 1)
B  0.000  0.500  0.500 (multiplicity 3)
I  0.500  0.500  0.500 (multiplicity 1)

Values from the calculation:
* magnetic moment: 0.0 μB per cell

***

In meV per atom, relative to the most stable structure: one 0; two 1085.

***

one | The following is a DFT calculation (GGA-PBE) of a relaxed CuBI2 crystal.

Cell: 6.266 6.266 12.372 Å, 90.00 90.00 90.00°
Space group I-42d (No. 122)
One atom of each set of equivalent atoms:
Cu  0.000  0.000  0.000 (multiplicity 4)
B  0.000  0.000  0.500 (multiplicity 4)
I  0.230  0.250  0.125 (multiplicity 8)

Values from the calculation:
* magnetic moment: 0.0 μB per cell

***

two | The following is a DFT calculation (GGA-PBE) of a relaxed CuBI2 crystal.

Cell: 7.201 7.201 7.201 Å, 90.00 90.00 90.00°
Space group Fm-3m (No. 225)
One atom of each set of equivalent atoms:
Cu  0.000  0.000  0.000 (multiplicity 4)
B  0.000  0.000  0.500 (multiplicity 4)
I  0.250  0.250  0.250 (multiplicity 8)

Values from the calculation:
* magnetic moment: 0.0 μB per cell

***

In meV per atom, relative to the most stable structure: one 0; two 423.

***

one | The following is a DFT calculation (GGA-PBE) of a relaxed CuBI2N crystal.

Cell: 5.555 5.555 3.704 Å, 90.00 90.00 90.00°
Space group P4/mmm (No. 123)
One atom of each set of equivalent atoms:
Cu  0.000  0.000  0.000 (multiplicity 1)
B  0.500  0.500  0.500 (multiplicity 1)
I  0.000  0.500  0.000 (multiplicity 2)
N  0.000  0.000  0.500 (multiplicity 1)

Values from the calculation:
* magnetic moment: 2.1 μB per cell

***

two | The following is a DFT calculation (GGA-PBE) of a relaxed CuBI2N crystal.

Cell: 6.425 6.425 2.768 Å, 90.00 90.00 90.00°
Space group P4/mmm (No. 123)
One atom of each set of equivalent atoms:
Cu  0.000  0.000  0.000 (multiplicity 1)
B  0.500  0.500  0.500 (multiplicity 1)
I  0.000  0.500  0.500 (multiplicity 2)
N  0.500  0.500  0.000 (multiplicity 1)

Values from the calculation:
* magnetic moment: 0.0 μB per cell

***

In meV per atom, relative to the most stable structure: one 1143; two 0.

***

one | The following is a DFT calculation (GGA-PBE) of a relaxed CuBIN2 crystal.

Cell: 3.597 3.597 7.329 Å, 90.00 90.00 90.00°
Space group P4/mmm (No. 123)
One atom of each set of equivalent atoms:
Cu  0.000  0.000  0.000 (multiplicity 1)
B  0.500  0.500  0.500 (multiplicity 1)
I  0.000  0.000  0.500 (multiplicity 1)
N  0.000  0.500  0.000 (multiplicity 2)

Values from the calculation:
* magnetic moment: 1.3 μB per cell

***

two | The following is a DFT calculation (GGA-PBE) of a relaxed CuBIN2 crystal.

Cell: 3.378 3.378 7.288 Å, 90.00 90.00 90.00°
Space group P4/mmm (No. 123)
One atom of each set of equivalent atoms:
Cu  0.000  0.000  0.000 (multiplicity 1)
B  0.500  0.500  0.500 (multiplicity 1)
I  0.500  0.500  0.000 (multiplicity 1)
N  0.000  0.500  0.500 (multiplicity 2)

Values from the calculation:
* magnetic moment: 0.3 μB per cell

***

In meV per atom, relative to the most stable structure: one 718; two 0.

***

one | The following is a DFT calculation (GGA-PBE) of a relaxed CuBI2O crystal.

Cell: 6.121 6.121 2.818 Å, 90.00 90.00 90.00°
Space group P4/mmm (No. 123)
One atom of each set of equivalent atoms:
Cu  0.000  0.000  0.000 (multiplicity 1)
B  0.500  0.500  0.500 (multiplicity 1)
I  0.000  0.500  0.500 (multiplicity 2)
O  0.500  0.500  0.000 (multiplicity 1)

Values from the calculation:
* magnetic moment: 0.3 μB per cell

***

two | The following is a DFT calculation (GGA-PBE) of a relaxed CuBI2O crystal.

Cell: 5.719 5.719 3.544 Å, 90.00 90.00 90.00°
Space group P4/mmm (No. 123)
One atom of each set of equivalent atoms:
Cu  0.000  0.000  0.000 (multiplicity 1)
B  0.500  0.500  0.500 (multiplicity 1)
I  0.000  0.500  0.000 (multiplicity 2)
O  0.000  0.000  0.500 (multiplicity 1)

Values from the calculation:
* magnetic moment: 1.0 μB per cell

***

In meV per atom, relative to the most stable structure: one 0; two 704.

***

one | The following is a DFT calculation (GGA-PBE) of a relaxed CuBIO2 crystal.

Cell: 3.627 3.627 6.591 Å, 90.00 90.00 90.00°
Space group P4/mmm (No. 123)
One atom of each set of equivalent atoms:
Cu  0.000  0.000  0.000 (multiplicity 1)
B  0.500  0.500  0.500 (multiplicity 1)
I  0.000  0.000  0.500 (multiplicity 1)
O  0.000  0.500  0.000 (multiplicity 2)

Values from the calculation:
* magnetic moment: 1.2 μB per cell

***

two | The following is a DFT calculation (GGA-PBE) of a relaxed CuBIO2 crystal.

Cell: 3.394 3.394 6.024 Å, 90.00 90.00 90.00°
Space group P4/mmm (No. 123)
One atom of each set of equivalent atoms:
Cu  0.000  0.000  0.000 (multiplicity 1)
B  0.500  0.500  0.500 (multiplicity 1)
I  0.500  0.500  0.000 (multiplicity 1)
O  0.000  0.500  0.500 (multiplicity 2)

Values from the calculation:
* magnetic moment: 0.0 μB per cell

***

In meV per atom, relative to the most stable structure: one 654; two 0.

***

one | The following is a DFT calculation (GGA-PBE) of a relaxed CuBPdI2 crystal.

Cell: 5.285 5.285 4.811 Å, 90.00 90.00 90.00°
Space group P4/mmm (No. 123)
One atom of each set of equivalent atoms:
Cu  0.000  0.000  0.000 (multiplicity 1)
B  0.500  0.500  0.500 (multiplicity 1)
Pd  0.000  0.000  0.500 (multiplicity 1)
I  0.000  0.500  0.000 (multiplicity 2)

Values from the calculation:
* magnetic moment: 0.0 μB per cell

***

two | The following is a DFT calculation (GGA-PBE) of a relaxed CuBPdI2 crystal.

Cell: 5.452 5.452 3.849 Å, 90.00 90.00 90.00°
Space group P4/mmm (No. 123)
One atom of each set of equivalent atoms:
Cu  0.000  0.000  0.000 (multiplicity 1)
B  0.000  0.000  0.500 (multiplicity 1)
Pd  0.500  0.500  0.500 (multiplicity 1)
I  0.000  0.500  0.000 (multiplicity 2)

Values from the calculation:
* magnetic moment: 0.0 μB per cell

***

In meV per atom, relative to the most stable structure: one 423; two 0.

***

one | The following is a DFT calculation (GGA-PBE) of a relaxed CuBSbI2 crystal.

Cell: 5.007 5.007 4.984 Å, 90.00 90.00 90.00°
Space group P4/mmm (No. 123)
One atom of each set of equivalent atoms:
Cu  0.000  0.000  0.000 (multiplicity 1)
B  0.500  0.500  0.500 (multiplicity 1)
Sb  0.500  0.500  0.000 (multiplicity 1)
I  0.000  0.500  0.500 (multiplicity 2)

Values from the calculation:
* magnetic moment: 0.0 μB per cell

***

two | The following is a DFT calculation (GGA-PBE) of a relaxed CuBSbI2 crystal.

Cell: 5.468 5.468 4.998 Å, 90.00 90.00 90.00°
Space group P4/mmm (No. 123)
One atom of each set of equivalent atoms:
Cu  0.000  0.000  0.000 (multiplicity 1)
B  0.500  0.500  0.500 (multiplicity 1)
Sb  0.000  0.000  0.500 (multiplicity 1)
I  0.000  0.500  0.000 (multiplicity 2)

Values from the calculation:
* magnetic moment: 0.0 μB per cell

***

In meV per atom, relative to the most stable structure: one 0; two 171.

***

one | The following is a DFT calculation (GGA-PBE) of a relaxed CuBSb2I crystal.

Cell: 4.993 4.993 5.641 Å, 90.00 90.00 90.00°
Space group P4/mmm (No. 123)
One atom of each set of equivalent atoms:
Cu  0.000  0.000  0.000 (multiplicity 1)
B  0.500  0.500  0.500 (multiplicity 1)
Sb  0.000  0.500  0.000 (multiplicity 2)
I  0.000  0.000  0.500 (multiplicity 1)

Values from the calculation:
* magnetic moment: 0.0 μB per cell

***

two | The following is a DFT calculation (GGA-PBE) of a relaxed CuBSb2I crystal.

Cell: 4.904 4.904 4.824 Å, 90.00 90.00 90.00°
Space group P4/mmm (No. 123)
One atom of each set of equivalent atoms:
Cu  0.000  0.000  0.000 (multiplicity 1)
B  0.500  0.500  0.500 (multiplicity 1)
Sb  0.000  0.500  0.500 (multiplicity 2)
I  0.500  0.500  0.000 (multiplicity 1)

Values from the calculation:
* magnetic moment: 0.0 μB per cell

***

In meV per atom, relative to the most stable structure: one 285; two 0.

***

one | The following is a DFT calculation (GGA-PBE) of a relaxed In3CuB crystal.

Cell: 4.995 4.995 4.995 Å, 90.00 90.00 90.00°
Space group Pm-3m (No. 221)
One atom of each set of equivalent atoms:
In  0.000  0.000  0.500 (multiplicity 3)
Cu  0.000  0.000  0.000 (multiplicity 1)
B  0.500  0.500  0.500 (multiplicity 1)

Values from the calculation:
* magnetic moment: 0.0 μB per cell

***

two | The following is a DFT calculation (GGA-PBE) of a relaxed In3CuB crystal.

Cell: 4.798 4.798 4.798 Å, 90.00 90.00 90.00°
Space group Pm-3m (No. 221)
One atom of each set of equivalent atoms:
In  0.000  0.000  0.500 (multiplicity 3)
Cu  0.500  0.500  0.500 (multiplicity 1)
B  0.000  0.000  0.000 (multiplicity 1)

Values from the calculation:
* magnetic moment: 0.0 μB per cell

***

In meV per atom, relative to the most stable structure: one 326; two 0.

***

one | The following is a DFT calculation (GGA-PBE) of a relaxed CuB2Ir crystal.

Cell: 5.389 5.389 5.389 Å, 90.00 90.00 90.00°
Space group Fm-3m (No. 225)
One atom of each set of equivalent atoms:
Cu  0.000  0.000  0.000 (multiplicity 4)
B  0.250  0.250  0.250 (multiplicity 8)
Ir  0.000  0.000  0.500 (multiplicity 4)

Values from the calculation:
* magnetic moment: 0.0 μB per cell

***

two | The following is a DFT calculation (GGA-PBE) of a relaxed CuB2Ir crystal.

Cell: 2.7647 2.7647 21.3694 Å, 90.00 90.00 120.00°
Space group R-3m (No. 166, hexagonal axes)
One atom of each set of equivalent atoms:
Cu  0.0000  0.0000  0.0000 (multiplicity 3)
B  0.0000  0.0000  0.0945 (multiplicity 6)
Ir  0.0000  0.0000  0.5000 (multiplicity 3)

Values from the calculation:
* magnetic moment: 0.0 μB per cell

***

In meV per atom, relative to the most stable structure: one 0; two 143.

***

one | The following is a DFT calculation (GGA-PBE) of a relaxed CuB3Ir crystal.

Cell: 3.768 3.768 3.768 Å, 90.00 90.00 90.00°
Space group Pm-3m (No. 221)
One atom of each set of equivalent atoms:
Cu  0.000  0.000  0.000 (multiplicity 1)
B  0.000  0.000  0.500 (multiplicity 3)
Ir  0.500  0.500  0.500 (multiplicity 1)

Values from the calculation:
* magnetic moment: 0.0 μB per cell

***

two | The following is a DFT calculation (GGA-PBE) of a relaxed CuB3Ir crystal.

Cell: 4.088 4.088 4.088 Å, 90.00 90.00 90.00°
Space group Pm-3m (No. 221)
One atom of each set of equivalent atoms:
Cu  0.000  0.000  0.000 (multiplicity 1)
B  0.000  0.500  0.500 (multiplicity 3)
Ir  0.500  0.500  0.500 (multiplicity 1)

Values from the calculation:
* magnetic moment: 0.0 μB per cell

***

In meV per atom, relative to the most stable structure: one 596; two 0.